Density functional theory data (GGA-PBE) for crystalline Cs2Ag2PbCl7 at its relaxed geometry.

It has space group I4/mmm (No. 139), with a = 5.234 Å, b = 5.234 Å, c = 26.582 Å, α = 90.00°, β = 90.00° and γ = 90.00°. The inequivalent atoms are Cs at (0.000, 0.000, 0.177), Ag at (0.000, 0.000, 0.405), Pb at (0.000, 0.000, 0.000), Cl at (0.000, 0.000, 0.308), Cl at (0.000, 0.000, 0.500) and Cl at (0.000, 0.500, 0.076).

The value obtained for the formation energy from raw total energies is -1074 meV per atom. The value obtained for the energy is -3.077 eV/atom.


Density functional theory data (GGA-PBE) for crystalline Cs2AgPbCl6 at its relaxed geometry.

It has space group I4/mmm (No. 139), with a = 7.663 Å, b = 7.663 Å, c = 10.894 Å, α = 90.00°, β = 90.00° and γ = 90.00°. The inequivalent atoms are Cs at (0.000, 0.500, 0.250), Ag at (0.000, 0.000, 0.000), Pb at (0.000, 0.000, 0.500), Cl at (0.000, 0.000, 0.246) and Cl at (0.245, 0.245, 0.000).

The value obtained for the formation energy from raw total energies is -1304 meV per atom. The value obtained for the energy is -3.239 eV/atom.


Density functional theory data (GGA-PBE) for crystalline CsAgPbCl6 at its relaxed geometry.

It has space group P312 (No. 149), with a = 7.0529 Å, b = 7.0529 Å, c = 7.6473 Å, α = 90.00°, β = 90.00° and γ = 120.00°. The inequivalent atoms are Cs at (0.0000, 0.0000, 0.0000), Ag at (0.3333, 0.6667, 0.5000), Pb at (0.6667, 0.3333, 0.5000) and Cl at (0.3838, 0.0203, 0.6962).

The value obtained for the formation energy from raw total energies is -937 meV per atom. The value obtained for the energy is -2.992 eV/atom.


Density functional theory data (GGA-PBE) for crystalline Cs3Ag2PbCl6 at its relaxed geometry.

It has space group P-3m1 (No. 164), with a = 7.9613 Å, b = 7.9613 Å, c = 8.7752 Å, α = 90.00°, β = 90.00° and γ = 120.00°. The inequivalent atoms are Cs at (0.0000, 0.0000, 0.0000), Cs at (0.3333, 0.6667, 0.6308), Ag at (0.3333, 0.6667, 0.1529), Pb at (0.0000, 0.0000, 0.5000) and Cl at (0.1674, 0.3348, 0.3016).

The value obtained for the formation energy from raw total energies is -1146 meV per atom. The value obtained for the energy is -3.067 eV/atom.